[1]
Computed, not measured: a geometry-optimized ZnIn3O structure at the GGA-PBEsol level of DFT.

Calculated values
DFT total energy	-16.2	eV per formula unit
DOS at the Fermi energy	2.3	states/eV/cell
theoretical density	6.68	g cm⁻³
total magnetic moment	0.00	μB per cell

```
data_ZnIn3O
_chemical_formula_sum 'Zn1 In3 O1'
_cell_length_a 4.730
_cell_length_b 4.730
_cell_length_c 4.730
_cell_angle_alpha 90.00
_cell_angle_beta 90.00
_cell_angle_gamma 90.00
_space_group_name_H-M_alt 'P 1'
_space_group_IT_number 1
loop_
_space_group_symop_operation_xyz
'x,y,z'
loop_
_atom_site_label
_atom_site_fract_x
_atom_site_fract_y
_atom_site_fract_z
O1 0.000 0.000 0.000
In1 0.500 0.000 0.000
In2 0.000 0.500 0.000
In3 0.000 0.000 0.500
Zn1 0.500 0.500 0.500
```

=====

[2]
Computed, not measured: a geometry-optimized CdCu7 structure at the GGA-PBEsol level of DFT.

Calculated values
DOS at the Fermi energy	2.9	states/eV/cell
theoretical density	9.37	g cm⁻³
energy relative to the elements	0.070	eV/atom
total magnetic moment	0.00	μB per cell

```
data_CdCu7
_chemical_formula_sum 'Cd1 Cu7'
_cell_length_a 5.188
_cell_length_b 5.188
_cell_length_c 5.188
_cell_angle_alpha 60.00
_cell_angle_beta 60.00
_cell_angle_gamma 60.00
_space_group_name_H-M_alt 'P 1'
_space_group_IT_number 1
loop_
_space_group_symop_operation_xyz
'x,y,z'
loop_
_atom_site_label
_atom_site_fract_x
_atom_site_fract_y
_atom_site_fract_z
Cd1 0.000 0.000 0.000
Cu1 0.000 0.500 0.500
Cu2 0.000 0.000 0.500
Cu3 0.500 0.000 0.500
Cu4 0.000 0.500 0.000
Cu5 0.500 0.500 0.500
Cu6 0.500 0.500 0.000
Cu7 0.500 0.000 0.000
```

=====

Which formula does entry 1 have?
ZnIn3O